Arrangement w

The following is a DFT calculation (PBE-GGA) of Ti2CrCuH after structural relaxation.

Structure (CIF):
```
data_Ti2CrCuH
_chemical_formula_sum 'Ti2 Cr1 Cu1 H1'
_symmetry_space_group_name_H-M 'P 1'
_symmetry_Int_Tables_number 1
_cell_length_a 4.379
_cell_length_b 4.379
_cell_length_c 4.522
_cell_angle_alpha 90.00
_cell_angle_beta 90.00
_cell_angle_gamma 90.00
loop_
_symmetry_equiv_pos_as_xyz
'x,y,z'
loop_
_atom_site_label
_atom_site_fract_x
_atom_site_fract_y
_atom_site_fract_z
Ti1 0.500 0.000 0.000
Cr1 0.000 0.000 0.000
Ti2 0.000 0.500 0.000
H1 0.500 0.500 0.500
Cu1 0.000 0.000 0.500
```

Calculated values
For the calculated volume, the calculation gives 17.34 Å³ per atom. The value obtained for the spin magnetization is 0.00 μB per formula unit.

---

Arrangement x

The following is a DFT calculation (PBE-GGA) of Ti2CrCuH after structural relaxation.

Structure (CIF):
```
data_Ti2CrCuH
_chemical_formula_sum 'Ti2 Cr1 Cu1 H1'
_symmetry_space_group_name_H-M 'P 1'
_symmetry_Int_Tables_number 1
_cell_length_a 4.190
_cell_length_b 4.190
_cell_length_c 3.357
_cell_angle_alpha 90.00
_cell_angle_beta 90.00
_cell_angle_gamma 90.00
loop_
_symmetry_equiv_pos_as_xyz
'x,y,z'
loop_
_atom_site_label
_atom_site_fract_x
_atom_site_fract_y
_atom_site_fract_z
H1 0.000 0.000 0.000
Cu1 0.500 0.500 0.500
Ti1 0.500 0.000 0.000
Ti2 0.000 0.500 0.000
Cr1 0.000 0.000 0.500
```

Calculated values
For the calculated volume, the calculation gives 11.79 Å³ per atom. The value obtained for the spin magnetization is 0.00 μB per formula unit.

---

Which structure wins on stability? arrangement x wins.

---

Arrangement w

The following is a DFT calculation (PBE-GGA) of HfCrCu2 after structural relaxation.

Structure (CIF):
```
data_HfCrCu2
_chemical_formula_sum 'Hf2 Cr2 Cu4'
_symmetry_space_group_name_H-M 'P 1'
_symmetry_Int_Tables_number 1
_cell_length_a 3.685
_cell_length_b 3.685
_cell_length_c 9.726
_cell_angle_alpha 79.08
_cell_angle_beta 79.08
_cell_angle_gamma 90.00
loop_
_symmetry_equiv_pos_as_xyz
'x,y,z'
loop_
_atom_site_label
_atom_site_fract_x
_atom_site_fract_y
_atom_site_fract_z
Cr1 0.500 0.500 0.000
Cu1 0.375 0.400 0.750
Hf1 0.750 0.250 0.500
Hf2 0.000 0.000 0.000
Cu2 0.875 0.850 0.750
Cu3 0.150 0.625 0.250
Cr2 0.250 0.750 0.500
Cu4 0.600 0.125 0.250
```

Calculated values
For the calculated volume, the calculation gives 15.91 Å³ per atom. The value obtained for the spin magnetization is 2.45 μB per formula unit.

---

Arrangement x

The following is a DFT calculation (PBE-GGA) of HfCrCu2 after structural relaxation.

Structure (CIF):
```
data_HfCrCu2
_chemical_formula_sum 'Hf1 Cr1 Cu2'
_symmetry_space_group_name_H-M 'P 1'
_symmetry_Int_Tables_number 1
_cell_length_a 4.423
_cell_length_b 4.423
_cell_length_c 4.423
_cell_angle_alpha 60.00
_cell_angle_beta 60.00
_cell_angle_gamma 60.00
loop_
_symmetry_equiv_pos_as_xyz
'x,y,z'
loop_
_atom_site_label
_atom_site_fract_x
_atom_site_fract_y
_atom_site_fract_z
Cu1 0.750 0.750 0.750
Cr1 0.000 0.000 0.000
Cu2 0.250 0.250 0.250
Hf1 0.500 0.500 0.500
```

Calculated values
For the calculated volume, the calculation gives 15.29 Å³ per atom. The value obtained for the spin magnetization is 3.92 μB per formula unit.

---

Which structure wins on stability? arrangement x wins.

---

Arrangement w

The following is a DFT calculation (PBE-GGA) of CrCu2HgS after structural relaxation.

Structure (CIF):
```
data_CrCu2HgS
_chemical_formula_sum 'Cr1 Cu2 Hg1 S1'
_symmetry_space_group_name_H-M 'P 1'
_symmetry_Int_Tables_number 1
_cell_length_a 4.893
_cell_length_b 4.242
_cell_length_c 4.893
_cell_angle_alpha 90.00
_cell_angle_beta 90.00
_cell_angle_gamma 90.00
loop_
_symmetry_equiv_pos_as_xyz
'x,y,z'
loop_
_atom_site_label
_atom_site_fract_x
_atom_site_fract_y
_atom_site_fract_z
Cu1 0.500 0.000 0.000
Cr1 0.000 0.000 0.000
Cu2 0.000 0.000 0.500
Hg1 0.500 0.500 0.500
S1 0.000 0.500 0.000
```

Calculated values
For the calculated volume, the calculation gives 20.31 Å³ per atom. The value obtained for the spin magnetization is 2.98 μB per formula unit.

---

Arrangement x

The following is a DFT calculation (PBE-GGA) of CrCu2HgS after structural relaxation.

Structure (CIF):
```
data_CrCu2HgS
_chemical_formula_sum 'Cr1 Cu2 Hg1 S1'
_symmetry_space_group_name_H-M 'P 1'
_symmetry_Int_Tables_number 1
_cell_length_a 4.388
_cell_length_b 4.597
_cell_length_c 4.388
_cell_angle_alpha 90.00
_cell_angle_beta 90.00
_cell_angle_gamma 90.00
loop_
_symmetry_equiv_pos_as_xyz
'x,y,z'
loop_
_atom_site_label
_atom_site_fract_x
_atom_site_fract_y
_atom_site_fract_z
S1 0.000 0.000 0.000
Hg1 0.500 0.500 0.500
Cr1 0.000 0.500 0.000
Cu1 0.500 0.000 0.000
Cu2 0.000 0.000 0.500
```

Calculated values
For the calculated volume, the calculation gives 17.70 Å³ per atom. The value obtained for the spin magnetization is 3.82 μB per formula unit.

---

Which structure wins on stability? arrangement x wins.

---

Arrangement w

The following is a DFT calculation (PBE-GGA) of CrCu2I after structural relaxation.

Structure (CIF):
```
data_CrCu2I
_chemical_formula_sum 'Cr2 Cu4 I2'
_symmetry_space_group_name_H-M 'P 1'
_symmetry_Int_Tables_number 1
_cell_length_a 7.502
_cell_length_b 7.502
_cell_length_c 5.924
_cell_angle_alpha 50.71
_cell_angle_beta 50.71
_cell_angle_gamma 90.00
loop_
_symmetry_equiv_pos_as_xyz
'x,y,z'
loop_
_atom_site_label
_atom_site_fract_x
_atom_site_fract_y
_atom_site_fract_z
Cr1 0.250 0.750 0.500
Cu1 0.130 0.625 0.250
Cu2 0.375 0.380 0.750
Cu3 0.875 0.870 0.750
I1 0.000 0.000 0.000
Cr2 0.500 0.500 0.000
Cu4 0.620 0.125 0.250
I2 0.750 0.250 0.500
```

Calculated values
For the calculated volume, the calculation gives 18.55 Å³ per atom. The value obtained for the spin magnetization is 3.25 μB per formula unit.

---

Arrangement x

The following is a DFT calculation (PBE-GGA) of CrCu2I after structural relaxation.

Structure (CIF):
```
data_CrCu2I
_chemical_formula_sum 'Cr1 Cu2 I1'
_symmetry_space_group_name_H-M 'P 1'
_symmetry_Int_Tables_number 1
_cell_length_a 4.676
_cell_length_b 4.676
_cell_length_c 4.676
_cell_angle_alpha 60.00
_cell_angle_beta 60.00
_cell_angle_gamma 60.00
loop_
_symmetry_equiv_pos_as_xyz
'x,y,z'
loop_
_atom_site_label
_atom_site_fract_x
_atom_site_fract_y
_atom_site_fract_z
Cu1 0.750 0.750 0.750
I1 0.500 0.500 0.500
Cr1 0.000 0.000 0.000
Cu2 0.250 0.250 0.250
```

Calculated values
For the calculated volume, the calculation gives 18.08 Å³ per atom. The value obtained for the spin magnetization is 4.61 μB per formula unit.

---

Which structure wins on stability? arrangement w wins.

---

Arrangement w

The following is a DFT calculation (PBE-GGA) of CrCuI2 after structural relaxation.

Structure (CIF):
```
data_CrCuI2
_chemical_formula_sum 'Cr2 Cu2 I4'
_symmetry_space_group_name_H-M 'P 1'
_symmetry_Int_Tables_number 1
_cell_length_a 6.324
_cell_length_b 6.324
_cell_length_c 7.656
_cell_angle_alpha 65.61
_cell_angle_beta 65.61
_cell_angle_gamma 90.00
loop_
_symmetry_equiv_pos_as_xyz
'x,y,z'
loop_
_atom_site_label
_atom_site_fract_x
_atom_site_fract_y
_atom_site_fract_z
Cr1 0.500 0.500 0.000
I1 0.648 0.125 0.250
I2 0.102 0.625 0.250
Cu1 0.000 0.000 0.000
I3 0.375 0.352 0.750
Cr2 0.250 0.750 0.500
I4 0.875 0.898 0.750
Cu2 0.750 0.250 0.500
```

Calculated values
For the calculated volume, the calculation gives 31.06 Å³ per atom. The value obtained for the spin magnetization is 5.00 μB per formula unit.

---

Arrangement x

The following is a DFT calculation (PBE-GGA) of CrCuI2 after structural relaxation.

Structure (CIF):
```
data_CrCuI2
_chemical_formula_sum 'Cr1 Cu1 I2'
_symmetry_space_group_name_H-M 'P 1'
_symmetry_Int_Tables_number 1
_cell_length_a 4.852
_cell_length_b 4.852
_cell_length_c 4.852
_cell_angle_alpha 60.00
_cell_angle_beta 60.00
_cell_angle_gamma 60.00
loop_
_symmetry_equiv_pos_as_xyz
'x,y,z'
loop_
_atom_site_label
_atom_site_fract_x
_atom_site_fract_y
_atom_site_fract_z
I1 0.750 0.750 0.750
I2 0.250 0.250 0.250
Cr1 0.000 0.000 0.000
Cu1 0.500 0.500 0.500
```

Calculated values
For the calculated volume, the calculation gives 20.19 Å³ per atom. The value obtained for the spin magnetization is 0.00 μB per formula unit.

---

Which structure wins on stability? arrangement w wins.

---

Arrangement w

The following is a DFT calculation (PBE-GGA) of Cr2Cu2I after structural relaxation.

Structure (CIF):
```
data_Cr2Cu2I
_chemical_formula_sum 'Cr4 Cu4 I2'
_symmetry_space_group_name_H-M 'P 1'
_symmetry_Int_Tables_number 1
_cell_length_a 6.684
_cell_length_b 6.684
_cell_length_c 3.569
_cell_angle_alpha 90.00
_cell_angle_beta 90.00
_cell_angle_gamma 90.00
loop_
_symmetry_equiv_pos_as_xyz
'x,y,z'
loop_
_atom_site_label
_atom_site_fract_x
_atom_site_fract_y
_atom_site_fract_z
I1 0.000 0.000 0.000
Cu1 0.176 0.676 0.500
Cu2 0.324 0.176 0.500
Cr1 0.102 0.398 0.000
Cu3 0.824 0.324 0.500
I2 0.500 0.500 0.000
Cr2 0.398 0.898 0.000
Cr3 0.898 0.602 0.000
Cu4 0.676 0.824 0.500
Cr4 0.602 0.102 0.000
```

Calculated values
For the calculated volume, the calculation gives 15.95 Å³ per atom. The value obtained for the spin magnetization is 0.00 μB per formula unit.

---

Arrangement x

The following is a DFT calculation (PBE-GGA) of Cr2Cu2I after structural relaxation.

Structure (CIF):
```
data_Cr2Cu2I
_chemical_formula_sum 'Cr2 Cu2 I1'
_symmetry_space_group_name_H-M 'P 1'
_symmetry_Int_Tables_number 1
_cell_length_a 3.536
_cell_length_b 3.536
_cell_length_c 8.006
_cell_angle_alpha 77.24
_cell_angle_beta 77.24
_cell_angle_gamma 90.00
loop_
_symmetry_equiv_pos_as_xyz
'x,y,z'
loop_
_atom_site_label
_atom_site_fract_x
_atom_site_fract_y
_atom_site_fract_z
Cu1 0.250 0.750 0.500
Cr1 0.620 0.620 0.760
I1 0.000 0.000 0.000
Cr2 0.380 0.380 0.240
Cu2 0.750 0.250 0.500
```

Calculated values
For the calculated volume, the calculation gives 19.02 Å³ per atom. The value obtained for the spin magnetization is 8.90 μB per formula unit.

---

Which structure wins on stability? arrangement x wins.